Entry 1:
# Al2AgPt GGA-PBE relaxed
data_Al2AgPt
_chemical_formula_sum 'Al4 Ag2 Pt2'
_symmetry_space_group_name_H-M 'C 1 m 1'
_symmetry_Int_Tables_number 8
_cell_length_a 9.115
_cell_length_b 3.289
_cell_length_c 4.377
_cell_angle_alpha 90.00
_cell_angle_beta 106.16
_cell_angle_gamma 90.00
loop_
_symmetry_equiv_pos_as_xyz
'x,y,z'
'x,-y,z'
'x+1/2,y+1/2,z'
'x+1/2,-y+1/2,z'
loop_
_atom_site_label
_atom_site_type_symbol
_atom_site_fract_x
_atom_site_fract_y
_atom_site_fract_z
Al1 Al 0.000 0.000 0.000
Al2 Al 0.240 0.000 0.654
Ag1 Ag 0.248 0.500 0.167
Pt1 Pt 0.009 0.500 0.528
# Formation energy from the elements = -0.500 eV per atom
# Spin magnetization = 0.00 μB per cell



Entry 2:
# Al2AgPt GGA-PBE relaxed
data_Al2AgPt
_chemical_formula_sum 'Al4 Ag2 Pt2'
_symmetry_space_group_name_H-M 'C 1 2/m 1'
_symmetry_Int_Tables_number 12
_cell_length_a 8.580
_cell_length_b 2.939
_cell_length_c 5.145
_cell_angle_alpha 90.00
_cell_angle_beta 100.59
_cell_angle_gamma 90.00
loop_
_symmetry_equiv_pos_as_xyz
'x,y,z'
'-x,-y,-z'
'-x,y,-z'
'x,-y,z'
'x+1/2,y+1/2,z'
'-x+1/2,-y+1/2,-z'
'-x+1/2,y+1/2,-z'
'x+1/2,-y+1/2,z'
loop_
_atom_site_label
_atom_site_type_symbol
_atom_site_fract_x
_atom_site_fract_y
_atom_site_fract_z
Al1 Al 0.242 0.000 0.229
Ag1 Ag 0.000 0.000 0.500
Pt1 Pt 0.000 0.500 0.000
# Formation energy from the elements = -0.433 eV per atom
# Spin magnetization = 0.00 μB per cell



Entry 3:
# Al2AgPt GGA-PBE relaxed
data_Al2AgPt
_chemical_formula_sum 'Al8 Ag4 Pt4'
_symmetry_space_group_name_H-M 'F m -3 m'
_symmetry_Int_Tables_number 225
_symmetry_space_group_name_Hall '-F 4 2 3'
_cell_length_a 6.269
_cell_length_b 6.269
_cell_length_c 6.269
_cell_angle_alpha 90.00
_cell_angle_beta 90.00
_cell_angle_gamma 90.00
loop_
_atom_site_label
_atom_site_type_symbol
_atom_site_fract_x
_atom_site_fract_y
_atom_site_fract_z
Al1 Al 0.250 0.250 0.250
Ag1 Ag 0.000 0.000 0.000
Pt1 Pt 0.000 0.000 0.500
# Formation energy from the elements = -0.525 eV per atom
# Spin magnetization = 0.00 μB per cell



- Which formula does entry 2 have?
  Al2AgPt



- The lowest formation energy from the elements belongs to which entry?
  number 3



What did the third record say?
# Al2AgPt GGA-PBE relaxed
data_Al2AgPt
_chemical_formula_sum 'Al8 Ag4 Pt4'
_symmetry_space_group_name_H-M 'F m -3 m'
_symmetry_Int_Tables_number 225
_symmetry_space_group_name_Hall '-F 4 2 3'
_cell_length_a 6.269
_cell_length_b 6.269
_cell_length_c 6.269
_cell_angle_alpha 90.00
_cell_angle_beta 90.00
_cell_angle_gamma 90.00
loop_
_atom_site_label
_atom_site_type_symbol
_atom_site_fract_x
_atom_site_fract_y
_atom_site_fract_z
Al1 Al 0.250 0.250 0.250
Ag1 Ag 0.000 0.000 0.000
Pt1 Pt 0.000 0.000 0.500
# Formation energy from the elements = -0.525 eV per atom
# Spin magnetization = 0.00 μB per cell



- What is the formula in the first record?
  Al2AgPt